Record 1
{"formula": "PmHoPdRu", "functional": "PBE", "state": "relaxed", "e_form_ev_per_fu": -2.3, "relative_energy_mev_per_atom": 42, "lattice_angstrom": [[0.0000, 3.4880, 3.4880], [3.4880, 0.0000, 3.4880], [3.4880, 3.4880, 0.0000]], "species": ["Pm", "Ho", "Pd", "Ru"], "fractional_positions": [[0.0000, 0.0000, 0.0000], [0.5000, 0.5000, 0.5000], [0.7500, 0.7500, 0.7500], [0.2500, 0.2500, 0.2500]]}

***

Record 2
{"formula": "PmHoSbPd", "functional": "PBE", "state": "relaxed", "formation_energy_uncorrected_ev_per_atom": -0.7715, "lattice_angstrom": [[0.0000, 3.6793, 3.6793], [3.6793, 0.0000, 3.6793], [3.6793, 3.6793, 0.0000]], "species": ["Pm", "Ho", "Sb", "Pd"], "fractional_positions": [[0.0000, 0.0000, 0.0000], [0.5000, 0.5000, 0.5000], [0.2500, 0.2500, 0.2500], [0.7500, 0.7500, 0.7500]]}

***

Record 3
{"formula": "PmHoScPd", "functional": "PBE", "state": "relaxed", "e_form_ev_per_fu": -0.6, "lattice_angstrom": [[0.0000, 3.6781, 3.6781], [3.6781, 0.0000, 3.6781], [3.6781, 3.6781, 0.0000]], "species": ["Pm", "Ho", "Sc", "Pd"], "fractional_positions": [[0.0000, 0.0000, 0.0000], [0.5000, 0.5000, 0.5000], [0.2500, 0.2500, 0.2500], [0.7500, 0.7500, 0.7500]]}

***

Record 4
{"formula": "PmHoSiPd", "functional": "PBE", "state": "relaxed", "formation_energy_uncorrected_ev_per_atom": -0.8008, "relative_energy_mev_per_atom": 0, "lattice_angstrom": [[4.2349, 0.0000, 0.0000], [0.0000, 2.0062, 5.4818], [0.0000, -2.0062, 5.4818]], "species": ["Pm", "Ho", "Si", "Pd"], "fractional_positions": [[0.0000, 0.0000, 0.0000], [0.5000, 0.2793, 0.2793], [0.0000, 0.7230, 0.7230], [0.5000, 0.5726, 0.5726]]}

***

Record 5
{"formula": "PmHoSi2Pd2", "functional": "PBE", "state": "relaxed", "formation_energy_uncorrected_ev_per_atom": -0.9174, "lattice_angstrom": [[4.2179, 0.0000, 0.0000], [-2.1089, 3.6528, 0.0000], [0.0000, 0.0000, 7.9640]], "species": ["Pm", "Ho", "Si", "Si", "Pd", "Pd"], "fractional_positions": [[0.0000, 0.0000, 0.0000], [0.0000, 0.0000, 0.5000], [0.3333, 0.6667, 0.2538], [0.6667, 0.3333, 0.7462], [0.3333, 0.6667, 0.7322], [0.6667, 0.3333, 0.2678]]}

***

Record 6
{"formula": "PmHoSiPd", "functional": "PBE", "state": "relaxed", "formation_energy_uncorrected_ev_per_atom": -0.6820, "relative_energy_mev_per_atom": 119, "lattice_angstrom": [[0.0000, 3.5628, 3.5628], [3.5628, 0.0000, 3.5628], [3.5628, 3.5628, 0.0000]], "species": ["Pm", "Ho", "Si", "Pd"], "fractional_positions": [[0.0000, 0.0000, 0.0000], [0.5000, 0.5000, 0.5000], [0.2500, 0.2500, 0.2500], [0.7500, 0.7500, 0.7500]]}

***

Record 7
{"formula": "PmHoSnPd", "functional": "PBE", "state": "relaxed", "e_form_ev_per_fu": -2.9, "lattice_angstrom": [[0.0000, 3.6879, 3.6879], [3.6879, 0.0000, 3.6879], [3.6879, 3.6879, 0.0000]], "species": ["Pm", "Ho", "Sn", "Pd"], "fractional_positions": [[0.0000, 0.0000, 0.0000], [0.5000, 0.5000, 0.5000], [0.7500, 0.7500, 0.7500], [0.2500, 0.2500, 0.2500]]}

***

Record 8
{"formula": "PmHoTlPd", "functional": "PBE", "state": "relaxed", "e_form_ev_per_fu": -2.1, "lattice_angstrom": [[0.0000, 3.7005, 3.7005], [3.7005, 0.0000, 3.7005], [3.7005, 3.7005, 0.0000]], "species": ["Pm", "Ho", "Tl", "Pd"], "fractional_positions": [[0.0000, 0.0000, 0.0000], [0.5000, 0.5000, 0.5000], [0.2500, 0.2500, 0.2500], [0.7500, 0.7500, 0.7500]]}

***

Calculated DOS(E_F), 2.56 3.78 5.44 2.50 4.98 2.38 2.78 4.01 states/eV/cell (same order as the records).